## Pm2Nd12Y7 (PBE)

Data for Pm2Nd12Y7 after structural relaxation.

a = 3.587 Å, b = 15.236 Å, c = 15.236 Å
α = 120.00°, β = 90.00°, γ = 90.00°
Element x y z (fractional)
Pm1 0.500 0.000 0.000
Pm2 0.000 0.667 0.333
Nd1 0.500 0.869 0.587
Nd2 0.500 0.718 0.131
Nd3 0.500 0.413 0.282
Nd4 0.500 0.271 0.840
Nd5 0.500 0.569 0.729
Nd6 0.500 0.160 0.431
Nd7 0.000 0.082 0.599
Nd8 0.000 0.517 0.918
Nd9 0.000 0.401 0.483
Nd10 0.000 0.795 0.748
Nd11 0.000 0.954 0.205
Nd12 0.000 0.252 0.046
Y1 0.000 0.333 0.667
Y2 0.000 0.047 0.812
Y3 0.000 0.765 0.953
Y4 0.000 0.188 0.235
Y5 0.500 0.621 0.520
Y6 0.500 0.899 0.379
Y7 0.500 0.480 0.101

* Fermi-level density of states: 34.92 states/eV/cell
* energy of formation: 1.0 kcal/mol of atoms
* symmetry: P-6 (174)

## CdTePd2 (PBE)

Data for CdTePd2 after structural relaxation.

a = 3.403 Å, b = 3.403 Å, c = 6.515 Å
α = 90.00°, β = 90.00°, γ = 90.00°
Element x y z (fractional)
Te1 0.500 0.500 0.000
Pd1 0.000 0.000 0.747
Pd2 0.000 0.000 0.253
Cd1 0.500 0.500 0.500

* formation energy (no corrections): -0.2604 eV/atom
* Fermi-level density of states: 1.69 states/eV/cell
* symmetry: P4/mmm (123)

## Zr4InBr (PBE)

Data for Zr4InBr after structural relaxation.

a = 5.889 Å, b = 5.889 Å, c = 5.889 Å
α = 60.00°, β = 60.00°, γ = 60.00°
Element x y z (fractional)
Zr1 0.882 0.373 0.373
Zr2 0.373 0.373 0.882
Zr3 0.373 0.882 0.373
Zr4 0.373 0.373 0.373
In1 0.000 0.000 0.000
Br1 0.750 0.750 0.750

* formation energy (no corrections): 0.2809 eV/atom
* Fermi-level density of states: 7.63 states/eV/cell
* symmetry: F-43m (216)

## PrNdLuPb (PBE)

Data for PrNdLuPb after structural relaxation.

a = 5.596 Å, b = 5.596 Å, c = 5.596 Å
α = 60.00°, β = 60.00°, γ = 60.00°
Element x y z (fractional)
Pb1 0.250 0.250 0.250
Pr1 0.000 0.000 0.000
Lu1 0.750 0.750 0.750
Nd1 0.500 0.500 0.500

* Fermi-level density of states: 7.21 states/eV/cell
* energy of formation: -3.5 kcal/mol of atoms
* symmetry: F-43m (216)

## B2C (PBE)

Data for B2C after structural relaxation.

a = 2.662 Å, b = 4.939 Å, c = 6.390 Å
α = 105.37°, β = 90.00°, γ = 90.00°
Element x y z (fractional)
B1 0.500 0.845 0.297
B2 0.500 0.457 0.210
B3 0.500 0.574 0.987
B4 0.500 0.185 0.949
B5 0.000 0.674 0.610
B6 0.000 0.328 0.659
B7 0.000 0.339 0.369
B8 0.000 0.956 0.014
C1 0.000 0.008 0.273
C2 0.000 0.637 0.870
C3 0.500 0.148 0.692
C4 0.500 0.848 0.570

* Fermi-level density of states: 1.43 states/eV/cell
* energy of formation: 8.3 kcal/mol of atoms
* symmetry: Pm (6)

## Y2MnCu (PBE)

Data for Y2MnCu after structural relaxation.

a = 5.792 Å, b = 5.792 Å, c = 5.792 Å
α = 137.72°, β = 137.72°, γ = 61.34°
Each line ends with the local moment (μB).
Element x y z (fractional)
Cu1 0.500 0.500 0.000  -0.01
Mn1 0.750 0.250 0.500  3.33
Y1 0.000 0.000 0.000  -0.27
Y2 0.250 0.750 0.500  -0.33

* Fermi-level density of states: 5.64 states/eV/cell
* energy of formation: 4.7 kcal/mol of atoms
* symmetry: I-4m2 (119)

## Rb2CuSbCl6 (PBE)

Data for Rb2CuSbCl6 after structural relaxation.

a = 7.236 Å, b = 7.236 Å, c = 7.533 Å
α = 118.83°, β = 118.83°, γ = 89.79°
Element x y z (fractional)
Rb1 0.753 0.253 0.505
Rb2 0.253 0.753 0.505
Cu1 0.530 0.531 0.061
Sb1 0.999 0.000 0.998
Cl1 0.735 0.736 0.993
Cl2 0.747 0.747 0.494
Cl3 0.259 0.258 0.993
Cl4 0.734 0.260 0.991
Cl5 0.232 0.233 0.464
Cl6 0.258 0.733 0.992

* formation energy (no corrections): -1.2251 eV/atom
* symmetry: P1 (1)

## BaCa2TcO5 (PBE)

Data for BaCa2TcO5 after structural relaxation.

a = 3.830 Å, b = 5.915 Å, c = 6.712 Å
α = 116.14°, β = 106.58°, γ = 90.00°
Each line ends with the local moment (μB).
Element x y z (fractional)
Ba1 0.000 0.500 0.000  0.00
Ca1 0.215 0.215 0.430  0.01
Ca2 0.785 0.785 0.570  0.01
Tc1 0.500 0.000 0.000  0.71
O1 0.635 0.899 0.270  0.04
O2 0.365 0.101 0.730  0.04
O3 0.365 0.629 0.730  0.04
O4 0.635 0.371 0.270  0.04
O5 0.000 0.000 0.000  -0.02

* formation energy (no corrections): -2.3985 eV/atom
* Fermi-level density of states: 0.73 states/eV/cell
* symmetry: Immm (71)

## Ac5RuSe4 (PBE)

Data for Ac5RuSe4 after structural relaxation.

a = 6.346 Å, b = 7.749 Å, c = 7.749 Å
α = 80.35°, β = 65.83°, γ = 65.83°
Element x y z (fractional)
Ac1 0.906 0.373 0.816
Ac2 0.280 0.816 0.627
Ac3 0.722 0.184 0.373
Ac4 0.096 0.627 0.184
Ac5 0.501 0.000 0.000
Ru1 0.001 0.000 0.000
Se1 0.408 0.399 0.786
Se2 0.807 0.786 0.601
Se3 0.195 0.214 0.399
Se4 0.594 0.601 0.214

* formation energy (no corrections): -1.5056 eV/atom
* Fermi-level density of states: 9.74 states/eV/cell
* symmetry: I4/m (87)

## CrSnSe2 (PBE)

Data for CrSnSe2 after structural relaxation.

a = 7.014 Å, b = 7.014 Å, c = 6.072 Å
α = 54.72°, β = 54.72°, γ = 90.00°
Each line ends with the local moment (μB).
Element x y z (fractional)
Cr1 0.750 0.750 0.500  3.84
Cr2 0.250 0.250 0.500  3.84
Sn1 0.750 0.250 0.500  0.02
Sn2 0.250 0.750 0.500  0.02
Se1 0.750 0.250 0.000  -0.13
Se2 0.250 0.750 0.000  -0.13
Se3 0.250 0.250 0.000  -0.13
Se4 0.750 0.750 0.000  -0.13

* formation energy (no corrections): 0.0363 eV/atom
* Fermi-level density of states: 3.25 states/eV/cell
* symmetry: P4/mmm (123)

## Tl3In2F7 (PBE)

Data for Tl3In2F7 after structural relaxation.

a = 4.478 Å, b = 4.559 Å, c = 11.889 Å
α = 101.05°, β = 90.00°, γ = 90.00°
Element x y z (fractional)
Tl1 0.500 0.500 0.000
Tl2 0.500 0.691 0.382
Tl3 0.500 0.309 0.618
In1 0.000 0.901 0.801
In2 0.000 0.099 0.199
F1 0.000 0.396 0.791
F2 0.000 0.807 0.615
F3 0.000 0.000 0.000
F4 0.000 0.604 0.209
F5 0.500 0.106 0.213
F6 0.500 0.894 0.787
F7 0.000 0.193 0.385

* formation energy (no corrections): -1.9171 eV/atom
* Fermi-level density of states: 1.73 states/eV/cell
* symmetry: Cmmm (65)

## TbNd2Gd (PBE)

Data for TbNd2Gd after structural relaxation.

a = 3.637 Å, b = 3.637 Å, c = 10.216 Å
α = 90.00°, β = 90.00°, γ = 90.00°
Each line ends with the local moment (μB).
Element x y z (fractional)
Nd1 0.000 0.000 0.752  -0.03
Nd2 0.000 0.000 0.248  -0.03
Gd1 0.500 0.500 0.500  7.19
Tb1 0.500 0.500 0.000  -0.07

* Fermi-level density of states: 6.55 states/eV/cell
* energy of formation: 0.4 kcal/mol of atoms
* symmetry: P4/mmm (123)

## KTl3I (PBE)

Data for KTl3I after structural relaxation.

a = 6.466 Å, b = 6.466 Å, c = 6.466 Å
α = 90.00°, β = 90.00°, γ = 90.00°
Element x y z (fractional)
I1 0.000 0.000 0.000
Tl1 0.000 0.500 0.000
Tl2 0.000 0.000 0.500
Tl3 0.500 0.000 0.000
K1 0.500 0.500 0.500

* formation energy (no corrections): 0.0075 eV/atom
* Fermi-level density of states: 2.89 states/eV/cell
* symmetry: Pm-3m (221)

## Dy12Pd3C5 (PBE)

Data for Dy12Pd3C5 after structural relaxation.

a = 13.438 Å, b = 13.438 Å, c = 13.438 Å
α = 109.47°, β = 109.47°, γ = 109.47°
Element x y z (fractional)
C1 0.125 0.375 0.250
C2 0.000 0.500 0.000
C3 0.000 0.000 0.000
C4 0.375 0.250 0.125
C5 0.500 0.000 0.500
C6 0.500 0.500 0.000
C7 0.125 0.750 0.375
C8 0.750 0.125 0.875
C9 0.750 0.625 0.375
C10 0.375 0.125 0.750
C11 0.625 0.875 0.250
C12 0.500 0.500 0.500
C13 0.500 0.000 0.000
C14 0.000 0.000 0.500
C15 0.250 0.375 0.625
C16 0.250 0.875 0.125
C17 0.000 0.500 0.500
C18 0.875 0.250 0.625
C19 0.625 0.750 0.875
C20 0.875 0.625 0.750
Pd1 0.750 0.375 0.125
Pd2 0.875 0.750 0.125
Pd3 0.375 0.750 0.625
Pd4 0.250 0.125 0.375
Pd5 0.875 0.125 0.250
Pd6 0.375 0.625 0.250
Pd7 0.625 0.375 0.750
Pd8 0.125 0.875 0.750
Pd9 0.750 0.875 0.625
Pd10 0.625 0.250 0.375
Pd11 0.125 0.250 0.875
Pd12 0.250 0.625 0.875
Dy1 0.704 0.119 0.024
Dy2 0.319 0.524 0.404
Dy3 0.976 0.381 0.296
Dy4 0.524 0.204 0.119
Dy5 0.585 0.704 0.681
Dy6 0.976 0.596 0.181
Dy7 0.319 0.796 0.415
Dy8 0.096 0.915 0.119
Dy9 0.596 0.976 0.681
Dy10 0.704 0.585 0.181
Dy11 0.796 0.476 0.381
Dy12 0.819 0.904 0.024
Dy13 0.119 0.704 0.524
Dy14 0.381 0.404 0.085
Dy15 0.085 0.904 0.381
Dy16 0.415 0.119 0.596
Dy17 0.085 0.181 0.204
Dy18 0.476 0.681 0.096
Dy19 0.819 0.915 0.296
Dy20 0.119 0.415 0.096
Dy21 0.381 0.976 0.796
Dy22 0.596 0.619 0.415
Dy23 0.904 0.819 0.524
Dy24 0.796 0.319 0.915
Dy25 0.404 0.381 0.585
Dy26 0.096 0.181 0.476
Dy27 0.204 0.681 0.085
Dy28 0.181 0.085 0.704
Dy29 0.619 0.024 0.204
Dy30 0.881 0.585 0.904
Dy31 0.524 0.319 0.904
Dy32 0.585 0.881 0.404
Dy33 0.915 0.819 0.796
Dy34 0.915 0.096 0.619
Dy35 0.881 0.296 0.476
Dy36 0.181 0.096 0.976
Dy37 0.619 0.596 0.915
Dy38 0.404 0.024 0.319
Dy39 0.296 0.415 0.819
Dy40 0.204 0.524 0.619
Dy41 0.904 0.085 0.881
Dy42 0.681 0.204 0.585
Dy43 0.476 0.796 0.881
Dy44 0.024 0.404 0.819
Dy45 0.415 0.296 0.319
Dy46 0.024 0.619 0.704
Dy47 0.681 0.476 0.596
Dy48 0.296 0.881 0.976

* Fermi-level density of states: 64.26 states/eV/cell
* energy of formation: -6.4 kcal/mol of atoms
* symmetry: Ia-3d (230)

## Na3Mn2SnSe6 (PBE)

Data for Na3Mn2SnSe6 after structural relaxation.

a = 6.752 Å, b = 6.752 Å, c = 7.341 Å
α = 98.86°, β = 98.86°, γ = 120.06°
Each line ends with the local moment (μB).
Element x y z (fractional)
Na1 0.161 0.839 0.500  0.01
Na2 0.839 0.161 0.500  0.01
Na3 0.500 0.500 0.500  0.01
Mn1 0.333 0.667 0.000  3.80
Mn2 0.667 0.333 0.000  3.80
Sn1 0.000 0.000 0.000  -0.06
Se1 0.929 0.578 0.791  -0.05
Se2 0.719 0.719 0.209  -0.04
Se3 0.071 0.422 0.209  -0.05
Se4 0.578 0.929 0.791  -0.05
Se5 0.281 0.281 0.791  -0.04
Se6 0.422 0.071 0.209  -0.05

* formation energy (no corrections): -0.6992 eV/atom
* Fermi-level density of states: 6.92 states/eV/cell
* symmetry: C2/m (12)

## In3HgPb3 (PBE)

Data for In3HgPb3 after structural relaxation.

a = 6.678 Å, b = 6.678 Å, c = 11.047 Å
α = 91.75°, β = 91.75°, γ = 121.82°
Element x y z (fractional)
In1 0.322 0.322 0.729
In2 0.478 0.016 0.229
In3 0.016 0.478 0.229
In4 0.522 0.984 0.771
In5 0.984 0.522 0.771
In6 0.678 0.678 0.271
Hg1 0.081 0.081 0.127
Hg2 0.919 0.919 0.873
Pb1 0.227 0.227 0.423
Pb2 0.257 0.743 0.500
Pb3 0.743 0.257 0.500
Pb4 0.359 0.641 0.000
Pb5 0.641 0.359 0.000
Pb6 0.773 0.773 0.577

* Fermi-level density of states: 5.73 states/eV/cell
* energy of formation: 1.4 kcal/mol of atoms
* symmetry: C2/m (12)

## TlTe2Au (PBE)

Data for TlTe2Au after structural relaxation.

a = 11.656 Å, b = 11.656 Å, c = 11.656 Å
α = 16.82°, β = 16.82°, γ = 16.82°
Element x y z (fractional)
Tl1 0.500 0.500 0.500
Te1 0.924 0.924 0.924
Te2 0.076 0.076 0.076
Au1 0.000 0.000 0.000

* formation energy (no corrections): 0.1140 eV/atom
* Fermi-level density of states: 3.95 states/eV/cell
* symmetry: R-3m (166)

## Zr2TiSb (PBE)

Data for Zr2TiSb after structural relaxation.

a = 3.276 Å, b = 3.276 Å, c = 9.710 Å
α = 80.29°, β = 80.29°, γ = 60.00°
Element x y z (fractional)
Sb1 0.500 0.500 0.500
Zr1 0.251 0.251 0.246
Zr2 0.749 0.749 0.754
Ti1 0.000 0.000 0.000

* formation energy (no corrections): -0.0729 eV/atom
* Fermi-level density of states: 4.14 states/eV/cell
* symmetry: R-3m (166)

## Rb3U2S6 (PBE)

Data for Rb3U2S6 after structural relaxation.

a = 5.204 Å, b = 5.204 Å, c = 14.122 Å
α = 100.62°, β = 100.62°, γ = 90.00°
Each line ends with the local moment (μB).
Element x y z (fractional)
Rb1 0.000 0.000 0.000  0.00
Rb2 0.815 0.815 0.630  0.00
Rb3 0.185 0.185 0.370  0.00
U1 0.400 0.400 0.799  1.62
U2 0.600 0.600 0.201  1.62
S1 0.084 0.584 0.168  -0.06
S2 0.584 0.084 0.168  -0.06
S3 0.916 0.416 0.832  -0.06
S4 0.416 0.916 0.832  -0.06
S5 0.690 0.690 0.380  -0.05
S6 0.310 0.310 0.620  -0.05

* formation energy (no corrections): -1.2612 eV/atom
* Fermi-level density of states: 10.96 states/eV/cell
* symmetry: I4/mmm (139)

## Ba2PAu (PBE)

Data for Ba2PAu after structural relaxation.

a = 4.736 Å, b = 4.736 Å, c = 6.620 Å
α = 90.00°, β = 90.00°, γ = 90.00°
Element x y z (fractional)
Au1 0.500 0.500 0.875
Ba1 0.000 0.000 0.875
Ba2 0.500 0.500 0.375
P1 0.000 0.000 0.375

* Fermi-level density of states: 2.29 states/eV/cell
* energy of formation: -17.5 kcal/mol of atoms
* symmetry: P4mm (99)

## Ca3SnPd (PBE)

Data for Ca3SnPd after structural relaxation.

a = 5.455 Å, b = 5.455 Å, c = 5.455 Å
α = 90.00°, β = 90.00°, γ = 90.00°
Element x y z (fractional)
Ca1 0.000 0.500 0.000
Ca2 0.000 0.000 0.500
Ca3 0.500 0.000 0.000
Sn1 0.500 0.500 0.500
Pd1 0.000 0.000 0.000

* Fermi-level density of states: 3.61 states/eV/cell
* energy of formation: -9.7 kcal/mol of atoms
* symmetry: Pm-3m (221)

Here are the calculated energy numbers, same order: -111.07; -15.48; -36.92; -18.38; -85.98; -25.38; -33.48; -62.67; -58.81; -40.90; -48.68; -28.18; -9.71; -489.74; -55.60; -38.45; -11.47; -29.41; -64.12; -15.57; -17.30 (eV for the cell shown).